1.
Compound: SrLaZr2C
Source: Alexandria via LeMat-Bulk
Functional: PBE
Structure: optimized geometry

The crystal system is tetragonal.

The space group is P4/mmm (No. 123) and the conventional cell measures 4.6868, 4.6868 and 5.6019 Å, with angles of 90.00, 90.00 and 90.00 degrees. The distinct sites, in fractional coordinates, are Sr at (0.0000, 0.0000, 0.0000), La at (0.5000, 0.5000, 0.0000), Zr at (0.0000, 0.5000, 0.5000) and C at (0.0000, 0.0000, 0.5000).

2.
Compound: LaTa2C
Source: Alexandria via LeMat-Bulk
Functional: PBE
Structure: optimized geometry

The crystal system is tetragonal.

The space group is I4_1/amd (No. 141, origin choice 2) and the conventional cell measures 6.4890, 6.4890 and 9.1930 Å, with angles of 90.00, 90.00 and 90.00 degrees. The distinct sites, in fractional coordinates, are La at (0.0000, 0.2500, 0.3750), Ta at (0.0000, 0.0000, 0.0000) and C at (0.0000, 0.2500, 0.8750).

3.
Compound: LaTaC
Source: Alexandria via LeMat-Bulk
Functional: PBE
Structure: optimized geometry

The crystal system is tetragonal.

The space group is P4/nmm (No. 129, origin choice 2) and the conventional cell measures 3.6969, 3.6969 and 9.2959 Å, with angles of 90.00, 90.00 and 90.00 degrees. The distinct sites, in fractional coordinates, are La at (0.2500, 0.2500, 0.1991), Ta at (0.2500, 0.7500, 0.5000) and C at (0.2500, 0.2500, 0.6593).

no.,formation energy from the elements (eV per formula unit)
1,1.0
2,2.0
3,0.2